--- i ---
VASP calculation (PBE) on an optimized crystal structure of Pu2CuS4.

V: 22.90 Å³/atom
Density of states at the Fermi level: 50.9 states/eV/cell

abc: 16.073 4.090 11.354
angles: 90.00 120.76 90.00
Space group C2/m (No. 12)
Asymmetric unit:
Pu  0.114  0.000  0.433 (multiplicity 4)
Pu  0.175  0.500  0.814 (multiplicity 4)
Cu  0.178  0.500  0.252 (multiplicity 4)
S  0.038  0.500  0.253 (multiplicity 4)
S  0.078  0.000  0.648 (multiplicity 4)
S  0.193  0.500  0.065 (multiplicity 4)
S  0.237  0.500  0.622 (multiplicity 4)



--- ii ---
VASP calculation (PBE) on an optimized crystal structure of Pu2CuS4.

V: 19.79 Å³/atom
Density of states at the Fermi level: 38.7 states/eV/cell

abc: 6.611 5.588 7.835
angles: 90.00 106.87 90.00
Space group P2_1/m (No. 11)
Asymmetric unit:
Pu  0.235  0.250  0.438 (multiplicity 2)
Pu  0.246  0.250  0.940 (multiplicity 2)
Cu  0.252  0.750  0.187 (multiplicity 2)
S  0.070  0.750  0.390 (multiplicity 2)
S  0.073  0.750  0.895 (multiplicity 2)
S  0.481  0.516  0.743 (multiplicity 4)



Which structure loses on stability? ii does.